This record from the Alexandria database describes KTlHO after structural relaxation. The functional is GGA-PBE.

```
KTlHO
1.0
-0.557 0.402 3.827
3.090 -2.160 0.677
3.785 4.807 -1.935
K Tl H O
1 1 1 1
Direct
0.382 0.450 0.765
0.097 0.951 0.193
0.805 0.951 0.610
0.885 0.949 0.771
```

***

This record from the Alexandria database describes KU2HO5 after structural relaxation. The functional is GGA-PBE.

```
KU2HO5
1.0
4.246 0.000 0.000
0.000 4.246 0.000
0.000 0.000 8.719
K U H O
1 2 1 5
Direct
0.500 0.500 0.500
0.000 0.000 0.252
0.000 0.000 0.748
0.000 0.000 0.000
0.000 0.000 0.500
0.000 0.500 0.742
0.500 0.000 0.258
0.000 0.500 0.258
0.500 0.000 0.742
```

***

| no. | VASP energy (eV/atom) | volume (Å³ per atom) |
| --- | --- | --- |
| 1 | -3.7565 | 22.77 |
| 2 | -8.3337 | 17.47 |